Entry 1:
## SrCo2Pt (PBE)

Data for a geometry-optimized SrCo2Pt structure.

Lattice parameters (Å, degrees): 6.480 6.480 6.480 90.00 90.00 90.00
Space group Fm-3m (No. 225)
Unique sites:
Sr 0.000 0.000 0.000 x4
Co 0.250 0.250 0.250 x8
Pt 0.000 0.000 0.500 x4

mass density = 9.78 g cm⁻³
M_tot = 3.3 μB/f.u.
final energy = -81.07 eV for the cell shown
ΔE_f = 0.42 eV per atom


Entry 2:
## SrCo2Pt (PBE)

Data for a geometry-optimized SrCo2Pt structure.

Lattice parameters (Å, degrees): 4.091 4.091 4.149 90.00 90.00 90.00
Space group P4/mmm (No. 123)
Unique sites:
Sr 0.000 0.000 0.000 x1
Co 0.000 0.500 0.500 x2
Pt 0.500 0.500 0.000 x1

mass density = 9.58 g cm⁻³
M_tot = 3.4 μB/f.u.
final energy = -20.30 eV for the cell shown
ΔE_f = 0.41 eV per atom


Entry 3:
## SrCo2Pt (PBE)

Data for a geometry-optimized SrCo2Pt structure.

Lattice parameters (Å, degrees): 2.8953 2.8953 27.9327 90.00 90.00 120.00
Space group R-3m (No. 166, hexagonal axes)
Unique sites:
Sr 0.0000 0.0000 0.0000 x3
Co 0.0000 0.0000 0.2394 x6
Pt 0.0000 0.0000 0.5000 x3

mass density = 9.84 g cm⁻³
M_tot = 3.5 μB/f.u.
final energy = -56.33 eV for the cell shown
ΔE_f = 0.79 eV per atom